The following is a DFT calculation (PBE with a Hubbard U) of a geometry-optimized Ac3VO6 structure.

- crystal system = orthorhombic
- V (Å³/f.u.) = 179
- total DFT energy (no corrections) (eV/atom) = -7.98

a = 7.8697 Å, b = 7.8697 Å, c = 5.9388 Å
α = 90.00°, β = 90.00°, γ = 102.94°
Closest atoms and distances in Å follow each position.
Fractional coordinates of all 20 atoms:
1 Ac 0.1054 0.8946 0.5000  7 O 2.52-2.70
2 Ac 0.1967 0.4134 0.5343  5 O 2.44-2.63
3 Ac 0.4134 0.1967 0.0343  5 O 2.44-2.63
4 Ac 0.5866 0.8033 0.5343  5 O 2.44-2.63
5 Ac 0.8033 0.5866 0.0343  5 O 2.44-2.63
6 Ac 0.8946 0.1054 0.0000  7 O 2.52-2.70
7 V 0.3077 0.6923 0.0727  4 O 1.94-1.95
8 V 0.6923 0.3077 0.5727  4 O 1.94-1.95
9 O 0.0898 0.6108 0.2379  1 V 1.95
10 O 0.1478 0.1700 0.2704  4 Ac 2.44-2.52
11 O 0.1700 0.1478 0.7704  4 Ac 2.44-2.52
12 O 0.2874 0.7126 0.7474  1 V 1.95
13 O 0.3892 0.9102 0.2379  1 V 1.95
14 O 0.4503 0.5497 0.2118  1 V 1.94
15 O 0.5497 0.4503 0.7118  1 V 1.94
16 O 0.6108 0.0898 0.7379  1 V 1.95
17 O 0.7126 0.2874 0.2474  1 V 1.95
18 O 0.8300 0.8522 0.2704  4 Ac 2.44-2.52
19 O 0.8522 0.8300 0.7704  4 Ac 2.44-2.52
20 O 0.9102 0.3892 0.7379  1 V 1.95